(1)
Density functional theory data (PBE-GGA) for a relaxed Nd2P3Ir4Rh crystal. Values from VASP.

Properties
formation energy = -0.804 eV per atom
calculated total energy = -7.660 eV/atom
space-group type = P-4m2, No. 115

The structure in Quantum ESPRESSO input format:
```
&SYSTEM
  ibrav = 0, nat = 10, ntyp = 4
/
ATOMIC_SPECIES
P 30.97 P.upf
Ir 192.22 Ir.upf
Rh 102.91 Rh.upf
Nd 144.24 Nd.upf
ATOMIC_POSITIONS crystal
P 0.500 0.000 0.864
Ir 0.000 0.500 0.365
P 0.000 0.000 0.500
P 0.000 0.500 0.136
Ir 0.500 0.000 0.635
Rh 0.500 0.500 0.500
Ir 0.500 0.500 0.000
Nd 0.000 0.500 0.750
Ir 0.000 0.000 0.000
Nd 0.500 0.000 0.250
CELL_PARAMETERS angstrom
-0.953 -3.460 -2.086
2.267 -2.232 2.666
-8.073 -1.274 5.800
```

=====

(2)
Density functional theory data (PBE-GGA) for a relaxed SmEr2Hf crystal. Values from VASP.

Properties
formation energy = 0.370 eV per atom
offset from the most stable computed form = 265 meV/atom
calculated total energy = -5.579 eV/atom
space-group type = R-3m, No. 166

The structure in Quantum ESPRESSO input format:
```
&SYSTEM
  ibrav = 0, nat = 4, ntyp = 3
/
ATOMIC_SPECIES
Er 167.26 Er.upf
Hf 178.49 Hf.upf
Sm 150.36 Sm.upf
ATOMIC_POSITIONS crystal
Er 0.086 0.086 0.742
Er 0.914 0.914 0.258
Hf 0.000 0.000 0.000
Sm 0.500 0.500 0.500
CELL_PARAMETERS angstrom
-2.173 -2.529 0.033
1.082 -3.121 0.448
-1.648 -0.624 12.031
```

=====

(3)
Density functional theory data (PBE-GGA) for a relaxed TaCd2Sb crystal. Values from VASP.

Properties
energy relative to the elements, uncorrected = 0.335 eV/atom
calculated total energy = -4.117 eV/atom
space-group type = Cmmm, No. 65

The structure in Quantum ESPRESSO input format:
```
&SYSTEM
  ibrav = 0, nat = 4, ntyp = 3
/
ATOMIC_SPECIES
Cd 112.41 Cd.upf
Ta 180.95 Ta.upf
Sb 121.76 Sb.upf
ATOMIC_POSITIONS crystal
Cd 0.500 0.500 0.000
Ta 0.000 0.500 0.500
Cd 0.000 0.000 0.000
Sb 0.500 0.000 0.500
CELL_PARAMETERS angstrom
5.596 -0.011 0.000
-2.619 4.945 0.000
0.000 0.000 3.104
```

=====

(4)
Density functional theory data (PBE-GGA) for a relaxed CuWSe2 crystal. Values from VASP.

Properties
offset from the most stable computed form = 238 meV/atom
energy relative to the elements, uncorrected = 0.087 eV/atom
calculated total energy = -5.918 eV/atom
space-group type = Imm2, No. 44

The structure in Quantum ESPRESSO input format:
```
&SYSTEM
  ibrav = 0, nat = 4, ntyp = 3
/
ATOMIC_SPECIES
W 183.84 W.upf
Se 78.96 Se.upf
Cu 63.55 Cu.upf
ATOMIC_POSITIONS crystal
W 0.575 0.575 0.000
Se 0.723 0.223 0.500
Se 0.989 0.989 0.000
Cu 0.213 0.713 0.500
CELL_PARAMETERS angstrom
-1.771 -4.639 5.482
0.900 -6.994 2.233
2.358 6.518 -2.583
```

=====

| no. | size of the total moment (μB per formula unit) |
| --- | --- |
| 1 | 0.00 |
| 2 | 0.00 |
| 3 | 0.00 |
| 4 | 0.00 |